1.
# BaPbSe2

A relaxed structure of BaPbSe2 (PBE-GGA, the Alexandria database).

Computed properties:
The uncorrected formation energy is -1.10 eV/atom. The value obtained for the magnetic moment is 0.00 μB per cell. Its crystal system is tetragonal. Its total energy is -34.0 eV for the cell shown. As for the space-group type: No. 122.

abc: 7.0210 7.0210 8.8097
angles: 66.52 66.52 90.00
Last column: nearest neighbours and their distance in Å.
Fractional positions:
Se 0.6500 0.1250 0.2500  2 Pb 2.98, 2 Ba 3.18
Pb 0.0000 0.0000 0.0000  4 Se 2.98
Se 0.8750 0.9000 0.7500  2 Pb 2.98, 2 Ba 3.18
Pb 0.7500 0.2500 0.5000  4 Se 2.98
Ba 0.2500 0.7500 0.5000  4 Se 3.18
Se 0.1000 0.6250 0.2500  2 Pb 2.98, 2 Ba 3.18
Se 0.3750 0.3500 0.7500  2 Pb 2.98, 2 Ba 3.18
Ba 0.5000 0.5000 0.0000  4 Se 3.18

2.
# BaSiPbSe4

A relaxed structure of BaSiPbSe4 (PBE-GGA, the Alexandria database).

Computed properties:
The uncorrected formation energy is -0.98 eV/atom. The value obtained for the magnetic moment is 0.00 μB per cell. Its crystal system is monoclinic. Its total energy is -63.7 eV for the cell shown. As for the space-group type: No. 11.

abc: 7.1032 7.0303 8.8592
angles: 90.00 108.07 90.00
Last column: nearest neighbours and their distance in Å.
Fractional positions:
Se 0.0044 0.4947 0.2527  1 Si 2.28
Ba 0.2689 0.2500 0.0665  8 Se 3.34-3.65
Se 0.6006 0.2500 0.4320  1 Si 2.29
Se 0.0044 0.0053 0.2527  1 Si 2.28
Si 0.2126 0.7500 0.3060  4 Se 2.28-2.31
Pb 0.7540 0.7500 0.4519  4 Se 3.00-3.16
Si 0.7874 0.2500 0.6940  4 Se 2.28-2.31
Se 0.9956 0.5053 0.7473  1 Si 2.28
Se 0.9956 0.9947 0.7473  1 Si 2.28
Ba 0.7311 0.7500 0.9335  8 Se 3.34-3.65
Se 0.4038 0.7500 0.1379  1 Si 2.31
Pb 0.2460 0.2500 0.5481  4 Se 3.00-3.16
Se 0.3994 0.7500 0.5680  1 Si 2.29
Se 0.5962 0.2500 0.8621  1 Si 2.31

3.
# BaSnPb2Se4

A relaxed structure of BaSnPb2Se4 (PBE-GGA, the Alexandria database).

Computed properties:
The uncorrected formation energy is -0.78 eV/atom. The value obtained for the magnetic moment is 0.00 μB per cell. Its crystal system is orthorhombic. Its total energy is -67.1 eV for the cell shown. As for the space-group type: No. 63.

abc: 4.5154 7.9340 15.3604
angles: 90.00 90.00 106.53
Last column: nearest neighbours and their distance in Å.
Fractional positions:
Se 0.0000 0.0000 0.5000  4 Pb 3.03
Se 0.0000 0.0000 0.0000  4 Pb 3.03
Ba 0.8689 0.7377 0.2500  6 Se 3.29-3.42
Sn 0.8618 0.7236 0.7500  4 Se 2.83-2.84
Se 0.7324 0.4649 0.6166  1 Sn 2.84, 1 Pb 2.95
Se 0.7324 0.4649 0.8834  1 Sn 2.84, 1 Pb 2.95
Pb 0.3743 0.7486 0.9561  3 Se 2.95-3.03
Se 0.2676 0.5351 0.3834  1 Sn 2.84, 1 Pb 2.95
Pb 0.3743 0.7486 0.5439  3 Se 2.95-3.03
Se 0.5261 0.0521 0.2500  2 Sn 2.83
Ba 0.1311 0.2623 0.7500  6 Se 3.29-3.42
Pb 0.6257 0.2514 0.4561  3 Se 2.95-3.03
Se 0.4739 0.9479 0.7500  2 Sn 2.83
Se 0.2676 0.5351 0.1166  1 Sn 2.84, 1 Pb 2.95
Sn 0.1382 0.2764 0.2500  4 Se 2.83-2.84
Pb 0.6257 0.2514 0.0439  3 Se 2.95-3.03